KVNiF6 after structural relaxation, computed with GGA+U.

Unit cell a=5.409 b=9.262 c=5.676 alpha=90.00 beta=90.46 gamma=90.00
Space group C2 (No. 5)
Symmetry-distinct sites (fractional):
K1 0.000 0.000 0.000 [2 per cell]
V1 0.000 0.332 0.500 [2 per cell]
Ni1 0.000 0.667 0.500 [2 per cell]
F1 0.124 0.497 0.693 [4 per cell]
F2 0.185 0.191 0.693 [4 per cell]
F3 0.193 0.817 0.690 [4 per cell]

## Properties
For the calculated volume, the calculation gives 15.80 Å³ per atom. The energy is -5.16 eV per atom.